# NiOs2Pt

A relaxed NiOs2Pt crystal (PBE-GGA, the Alexandria database).

Cell: 3.7697 2.7298 6.0574 Å, 63.31 90.00 90.00°
Sites, in units of the cell vectors:
Ni  0.5000  0.7469  0.7541
Os  0.0000  0.9955  0.0032
Os  0.5000  0.2698  0.2305
Pt  0.0000  0.4879  0.5122

Calculated values
Its relative energy among the computed polymorphs is 0.000 eV/atom. The density of states at the Fermi level is 3.800 states/eV/f.u. As for the total energy: -0.313 Ha/atom.


# Ni2OsPt

A relaxed Ni2OsPt crystal (PBE-GGA, the Alexandria database).

Cell: 2.6387 2.6387 8.8818 Å, 90.00 90.00 118.88°
Last column: magnetic moment on the atom in μB.
Sites, in units of the cell vectors:
Ni  0.0000  0.0000  0.0138  0.43
Ni  0.5000  0.5000  0.2424  0.19
Os  0.0000  0.0000  0.4822  -0.01
Pt  0.5000  0.5000  0.7615  0.02

Calculated values
The density of states at the Fermi level is 6.128 states/eV/f.u. As for the total energy: -0.254 Ha/atom.


# Ni2OsPt

A relaxed Ni2OsPt crystal (PBE-GGA, the Alexandria database).

Cell: 6.6193 6.6193 5.3598 Å, 51.87 51.87 90.00°
Sites, in units of the cell vectors:
Ni  0.6079  0.1250  0.2500
Ni  0.1421  0.6250  0.2500
Ni  0.3750  0.3921  0.7500
Ni  0.8750  0.8579  0.7500
Os  0.5000  0.5000  0.0000
Os  0.2500  0.7500  0.5000
Pt  0.0000  0.0000  0.0000
Pt  0.7500  0.2500  0.5000

Calculated values
The density of states at the Fermi level is 5.565 states/eV/f.u. As for the total energy: -0.242 Ha/atom.


# NiOs2Pt

A relaxed NiOs2Pt crystal (PBE-GGA, the Alexandria database).

Cell: 4.6736 4.6736 4.6911 Å, 80.81 80.81 33.52°
Sites, in units of the cell vectors:
Ni  0.2519  0.2519  0.2484
Os  0.0003  0.0003  0.9907
Os  0.7477  0.7477  0.7746
Pt  0.5002  0.5002  0.4863

Calculated values
Its relative energy among the computed polymorphs is 0.061 eV/atom. The density of states at the Fermi level is 4.720 states/eV/f.u. As for the total energy: -0.311 Ha/atom.


# NiOsPt2

A relaxed NiOsPt2 crystal (PBE-GGA, the Alexandria database).

Cell: 2.6958 2.6958 9.2526 Å, 90.00 90.00 119.62°
Sites, in units of the cell vectors:
Ni  0.0000  0.0000  0.5068
Os  0.5000  0.5000  0.7334
Pt  0.0000  0.0000  0.9939
Pt  0.5000  0.5000  0.2659

Calculated values
Its relative energy among the computed polymorphs is 0.173 eV/atom. The density of states at the Fermi level is 4.717 states/eV/f.u. As for the total energy: -0.260 Ha/atom.


# Ni2OsPt2

A relaxed Ni2OsPt2 crystal (PBE-GGA, the Alexandria database).

Cell: 2.7023 2.7023 10.9731 Å, 82.93 82.93 60.00°
Sites, in units of the cell vectors:
Ni  0.3957  0.3957  0.8128
Ni  0.6043  0.6043  0.1872
Os  0.0000  0.0000  0.0000
Pt  0.8711  0.8711  0.3868
Pt  0.1289  0.1289  0.6132

Calculated values
The density of states at the Fermi level is 8.301 states/eV/f.u. As for the total energy: -0.255 Ha/atom.


# NiOs2Pt

A relaxed NiOs2Pt crystal (PBE-GGA, the Alexandria database).

Cell: 2.7092 3.8482 5.3494 Å, 90.00 90.00 90.00°
Sites, in units of the cell vectors:
Ni  0.5000  0.5000  0.7500
Os  0.0000  0.0000  0.9806
Os  0.0000  0.0000  0.5194
Pt  0.5000  0.5000  0.2500

Calculated values
Its relative energy among the computed polymorphs is 0.177 eV/atom. The density of states at the Fermi level is 4.664 states/eV/f.u. As for the total energy: -0.307 Ha/atom.


# NiOsPt2

A relaxed NiOsPt2 crystal (PBE-GGA, the Alexandria database).

Cell: 4.6819 4.6819 4.7074 Å, 80.65 80.65 34.06°
Sites, in units of the cell vectors:
Ni  0.7500  0.7500  0.7500
Os  0.2500  0.2500  0.2500
Pt  0.9986  0.9986  0.0005
Pt  0.5014  0.5014  0.4995

Calculated values
Its relative energy among the computed polymorphs is 0.059 eV/atom. The density of states at the Fermi level is 5.016 states/eV/f.u. As for the total energy: -0.264 Ha/atom.


| no. | ΔH_f (0 K) (meV/atom) |
| --- | --- |
| 1 | 48.7 |
| 2 | 296.8 |
| 3 | 627.4 |
| 4 | 110.0 |
| 5 | 210.2 |
| 6 | 40.3 |
| 7 | 226.0 |
| 8 | 96.0 |